Entry 1:
Entry from the Alexandria database: a relaxed structure of InPW2 (PBE-GGA).

Cell: 3.213 4.978 8.412 Å, 90.00 90.00 90.00°
Space group Immm (No. 71)
Asymmetric unit:
In (0.000, 0.000, 0.000)
P (0.000, 0.000, 0.500)
W (0.000, 0.500, 0.205)

## Properties
Density (Mg/m³): 12.67
Energy relative to the lowest polymorph listed for this composition (eV/atom): 0.307
Energy of formation (eV per atom): 0.39
Crystal system: orthorhombic

Entry 2:
Entry from the Alexandria database: a relaxed structure of Na5CdAu2 (PBE-GGA).

Cell: 5.1175 5.1175 19.8174 Å, 90.00 90.00 120.00°
Space group P6_3/mmc (No. 194)
Asymmetric unit:
Na (0.0000, 0.0000, 0.1424)
Na (0.3333, 0.6667, 0.0460)
Na (0.3333, 0.6667, 0.2500)
Cd (0.3333, 0.6667, 0.7500)
Au (0.3333, 0.6667, 0.6086)

## Properties
Density (Mg/m³): 4.59
Energy of formation (eV per atom): -0.19
Crystal system: hexagonal

Please write out number 2 again, unchanged.
Entry from the Alexandria database: a relaxed structure of Na5CdAu2 (PBE-GGA).

Cell: 5.1175 5.1175 19.8174 Å, 90.00 90.00 120.00°
Space group P6_3/mmc (No. 194)
Asymmetric unit:
Na (0.0000, 0.0000, 0.1424)
Na (0.3333, 0.6667, 0.0460)
Na (0.3333, 0.6667, 0.2500)
Cd (0.3333, 0.6667, 0.7500)
Au (0.3333, 0.6667, 0.6086)

## Properties
Density (Mg/m³): 4.59
Energy of formation (eV per atom): -0.19
Crystal system: hexagonal

> Which formula does entry 1 have?

InPW2

> Which formula does entry 2 have?

Na5CdAu2

> Which value of energy of formation does entry 2 give?

-0.19 eV per atom